Below is a relaxed structure of Pm4Co3Ni, with properties calculated at the PBE level.

Computed properties:
Magnetization   0.7 μB/f.u.
E_tot   -5.911 eV/atom

Unit cell a=3.948 b=3.986 c=10.958 alpha=90.00 beta=90.00 gamma=90.00
Positions (direct):
Pm 0.000 0.000 0.000
Pm 0.000 0.500 0.497
Pm 0.500 0.000 0.280
Pm 0.500 0.500 0.779
Co 0.000 0.000 0.696
Co 0.000 0.500 0.203
Co 0.500 0.000 0.584
Ni 0.500 0.500 0.075